Compound: ScPb3Br
Source: the Alexandria database
Functional: GGA-PBE
Structure: relaxed

## Properties
The formation energy without anion corrections is 0.50 eV/atom.

```
ScPb3Br
1.0
-5.128 1.008 -2.136
0.109 -4.999 -2.622
-2.360 -2.422 4.521
Pb Sc Br
3 1 1
direct
0.000 0.500 0.000
0.000 0.000 0.500
0.500 0.000 0.000
0.500 0.500 0.500
0.000 0.000 0.000
```